No. 1
DFT (PBE) results for an optimized crystal structure of AcAgC.

Cell and atoms, written as CIF:
```
data_AcAgC
_cell_length_a 8.392
_cell_length_b 4.391
_cell_length_c 8.019
_cell_angle_alpha 90.00
_cell_angle_beta 106.71
_cell_angle_gamma 90.00
_space_group_name_H-M_alt 'C 1 2/m 1'
_space_group_IT_number 12
_space_group_name_Hall '-C 2y'
loop_
_atom_site_label
_atom_site_fract_x
_atom_site_fract_y
_atom_site_fract_z
_atom_site_occupancy
Ac1 0.092 0.000 0.302 1
Ag1 0.160 0.500 0.002 1
C1 0.082 0.500 0.533 1
```

No. 2
# CeThInSn | Alexandria via LeMat-Bulk | PBE | optimized geometry
data_CeThInSn
_cell_length_a 7.740
_cell_length_b 7.740
_cell_length_c 7.740
_cell_angle_alpha 90.00
_cell_angle_beta 90.00
_cell_angle_gamma 90.00
_space_group_name_H-M_alt 'F -4 3 m'
_space_group_IT_number 216
_space_group_name_Hall 'F -4 2 3'
loop_
_atom_site_label
_atom_site_fract_x
_atom_site_fract_y
_atom_site_fract_z
_atom_site_occupancy
Ce1 0.000 0.000 0.000 1
Th1 0.000 0.000 0.500 1
In1 0.250 0.250 0.250 1
Sn1 0.250 0.250 0.750 1
# Energy relative to the lowest polymorph listed for this composition, eV/f.u.: 0.00

Number 1: formation enthalpy at 0 K -0.1137 eV per atom, Fermi-level density of states 0.47 states/eV/atom, V 23.58 Å³/atom. Number 2: formation enthalpy at 0 K -0.3424 eV per atom, Fermi-level density of states 2.20 states/eV/atom, V 28.98 Å³/atom.